# B2C GGA-PBE optimized geometry
# DOS(E_F) = 0.0685 states/eV/atom
# V = 7.358 Å³ per atom
# formation energy = 1.1 eV per formula unit
# total DFT energy (no corrections) = -0.26268 hartree per atom
data_B2C
_symmetry_space_group_name_H-M 'P 1 21/m 1'
_symmetry_Int_Tables_number 11
_symmetry_space_group_name_Hall '-P 2yb'
_cell_length_a 3.704
_cell_length_b 2.768
_cell_length_c 8.725
_cell_angle_alpha 90.00
_cell_angle_beta 99.31
_cell_angle_gamma 90.00
loop_
_atom_site_label
_atom_site_type_symbol
_atom_site_fract_x
_atom_site_fract_y
_atom_site_fract_z
B1 B 0.000 0.250 0.149
B2 B 0.094 0.250 0.960
B3 B 0.201 0.250 0.786
B4 B 0.345 0.250 0.354
C1 C 0.117 0.250 0.502
C2 C 0.422 0.250 0.649